# GGA+U PrTaCr2O8, optimized geometry
data_PrTaCr2O8
_cell_length_a 4.7849
_cell_length_b 4.7829
_cell_length_c 6.4951
_cell_angle_alpha 90.97
_cell_angle_beta 90.96
_cell_angle_gamma 87.79
_space_group_name_H-M_alt 'P 1'
_space_group_IT_number 1
_space_group_name_Hall 'P 1'
loop_
_atom_site_label
_atom_site_type_symbol
_atom_site_fract_x
_atom_site_fract_y
_atom_site_fract_z
O1 O 0.2089 0.7885 0.2134
O2 O 0.6639 0.6651 0.4836
O3 O 0.3066 0.3060 0.0069
Cr1 Cr 0.4989 0.4989 0.7555
O4 O 0.2108 0.7903 0.7866
O5 O 0.3361 0.3349 0.5164
Cr2 Cr 0.5011 0.5011 0.2445
O6 O 0.6934 0.6940 0.9931
O7 O 0.7892 0.2097 0.2134
Ta1 Ta 0.0000 0.0000 0.0000
O8 O 0.7911 0.2115 0.7866
Pr1 Pr 0.0000 0.0000 0.5000
# Space-group type = C2/m (12)
# DFT total energy = -97.56 eV for the cell shown